VASP calculation (PBE) on an optimized crystal structure of LiPdN.

The structure belongs to space group P4/mmm (No. 123); the cell edges are 3.086, 3.086 and 3.804 Å and the angles 90.00°, 90.00° and 90.00°. The distinct sites, in fractional coordinates, are Li at (0.000, 0.000, 0.000), Pd at (0.500, 0.500, 0.500) and N at (0.500, 0.500, 0.000).

The value obtained for the size of the total moment is 0.00 μB per formula unit. The volume is 36 Å³ per cell. For the formation energy from raw total energies, the calculation gives 47 meV per atom.

=====

VASP calculation (PBE) on an optimized crystal structure of NaGaTcO4.

The structure belongs to space group Cmcm (No. 63); the cell edges are 6.201, 9.702 and 6.497 Å and the angles 90.00°, 90.00° and 90.00°. The distinct sites, in fractional coordinates, are Na at (0.000, 0.000, 0.000), Ga at (0.000, 0.352, 0.250), Tc at (0.000, 0.349, 0.750), O at (0.000, 0.252, 0.503) and O at (0.205, 0.500, 0.250).

The value obtained for the size of the total moment is 1.05 μB per formula unit. The volume is 391 Å³ per cell. For the formation energy from raw total energies, the calculation gives -1367 meV per atom.